[1]
Density functional theory data (GGA-PBE) for crystalline Li2CuPbO4 at its relaxed geometry.

Output
Raw total energy: -81.59 eV/cell
Volume: 181.2 Å³ per cell
Uncorrected formation energy: -26.899 kcal/mol of atoms

Cell: 6.059 6.059 6.559 Å, 118.41 118.41 87.31°
Sites, in units of the cell vectors:
Li  0.000  0.000  0.000
Li  0.000  0.000  0.500
Li  0.000  0.500  0.000
Li  0.500  0.000  0.500
Cu  0.500  0.500  0.000
Cu  0.500  0.500  0.500
Pb  0.000  0.500  0.500
Pb  0.500  0.000  0.000
O  0.240  0.717  0.966
O  0.243  0.245  0.937
O  0.245  0.243  0.437
O  0.283  0.760  0.534
O  0.717  0.240  0.466
O  0.755  0.757  0.563
O  0.757  0.755  0.063
O  0.760  0.283  0.034

[2]
Density functional theory data (GGA-PBE) for crystalline Ca3MgAu3 at its relaxed geometry.

Output
Raw total energy: -44.91 eV/cell
Volume: 354.0 Å³ per cell
Energy above the most stable polymorph in this dataset: 0 meV per atom
Formation enthalpy at 0 K: -0.72 eV/atom

Cell: 5.956 5.956 15.064 Å, 90.00 90.00 138.52°
Sites, in units of the cell vectors:
Ca  0.033  0.967  0.750
Ca  0.305  0.695  0.605
Ca  0.305  0.695  0.895
Ca  0.695  0.305  0.105
Ca  0.695  0.305  0.395
Ca  0.967  0.033  0.250
Mg  0.000  0.000  0.000
Mg  0.000  0.000  0.500
Au  0.245  0.755  0.250
Au  0.406  0.594  0.096
Au  0.406  0.594  0.404
Au  0.594  0.406  0.596
Au  0.594  0.406  0.904
Au  0.755  0.245  0.750

[3]
Density functional theory data (GGA-PBE) for crystalline AcPr4Y7 at its relaxed geometry.

Output
Raw total energy: -65.04 eV/cell
Volume: 433.3 Å³ per cell
Energy above the most stable polymorph in this dataset: 266 meV per atom
Formation enthalpy at 0 K: 0.29 eV/atom

Cell: 6.937 6.937 12.916 Å, 115.29 115.29 52.44°
Sites, in units of the cell vectors:
Ac  0.000  0.000  0.000
Pr  0.238  0.238  0.673
Pr  0.367  0.367  0.224
Pr  0.633  0.633  0.776
Pr  0.762  0.762  0.327
Y  0.060  0.060  0.330
Y  0.216  0.216  0.921
Y  0.366  0.366  0.499
Y  0.500  0.500  0.000
Y  0.634  0.634  0.501
Y  0.784  0.784  0.079
Y  0.940  0.940  0.670

[4]
Density functional theory data (GGA-PBE) for crystalline NdYGaIr at its relaxed geometry.

Output
Raw total energy: -25.45 eV/cell
Volume: 91.0 Å³ per cell
Energy above the most stable polymorph in this dataset: 99 meV per atom
Formation enthalpy at 0 K: -0.58 eV/atom

Cell: 5.049 5.049 5.049 Å, 60.00 60.00 60.00°
Sites, in units of the cell vectors:
Nd  0.000  0.000  0.000
Y  0.500  0.500  0.500
Ga  0.750  0.750  0.750
Ir  0.250  0.250  0.250

[5]
Density functional theory data (GGA-PBE) for crystalline ZnIF at its relaxed geometry.

Output
Raw total energy: -35.89 eV/cell
Volume: 400.6 Å³ per cell
Energy above the most stable polymorph in this dataset: 0 meV per atom
Uncorrected formation energy: -32.871 kcal/mol of atoms

Cell: 8.934 5.545 8.304 Å, 90.00 103.11 90.00°
Sites, in units of the cell vectors:
Zn  0.137  0.183  0.283
Zn  0.137  0.317  0.783
Zn  0.863  0.683  0.217
Zn  0.863  0.817  0.717
I  0.314  0.249  0.076
I  0.314  0.251  0.576
I  0.686  0.749  0.424
I  0.686  0.751  0.924
F  0.057  0.647  0.764
F  0.057  0.853  0.264
F  0.943  0.147  0.736
F  0.943  0.353  0.236

[6]
Density functional theory data (GGA-PBE) for crystalline RbHg2O2 at its relaxed geometry.

Output
Raw total energy: -28.26 eV/cell
Volume: 259.6 Å³ per cell
Energy above the most stable polymorph in this dataset: 73 meV per atom
Uncorrected formation energy: -12.183 kcal/mol of atoms

Cell: 7.317 7.317 7.317 Å, 123.73 123.73 83.65°
Sites, in units of the cell vectors:
Rb  0.375  0.625  0.750
Rb  0.625  0.375  0.250
Hg  0.000  0.000  0.000
Hg  0.000  0.000  0.500
Hg  0.000  0.500  0.000
Hg  0.500  0.000  0.500
O  0.114  0.364  0.750
O  0.364  0.114  0.250
O  0.636  0.886  0.750
O  0.886  0.636  0.250